Li5Tl4Sn | PBE | relaxed

Values from the calculation:
- Space-group type: No. 123
- Total moment: 0.0 μB per cell
- Energy of formation from the pure elements: -0.243 eV per atom
- E: -2.546 eV per atom

Cell lengths 3.474, 3.474, 17.306 Å; angles 90.00, 90.00, 90.00 degrees
Fractional positions:
Li 0.000 0.000 0.000
Li 0.000 0.000 0.200
Li 0.000 0.000 0.402
Li 0.000 0.000 0.598
Li 0.000 0.000 0.800
Tl 0.500 0.500 0.099
Tl 0.500 0.500 0.301
Tl 0.500 0.500 0.699
Tl 0.500 0.500 0.901
Sn 0.500 0.500 0.500